# 1
DFT (PBE-GGA) results for a relaxed Ti2RePb crystal.

* ρ: 10.3 g/cm3
* DOS(E_F): 0.91 states/eV per atom
* DFT formation energy: 0.4700 eV/atom
* V: 19.8 A^3/atom

Cell: 7.511 7.511 6.007 Å, 51.31 51.31 90.00°
Fractional coordinates of all 8 atoms:
Pb 0.000 0.000 0.000
Pb 0.750 0.250 0.500
Re 0.500 0.500 0.000
Re 0.250 0.750 0.500
Ti 0.571 0.125 0.250
Ti 0.179 0.625 0.250
Ti 0.375 0.429 0.750
Ti 0.875 0.821 0.750

# 2
DFT (PBE-GGA) results for a relaxed Ti4Cu3Ir2 crystal.

* ρ: 9.7 g/cm3
* DOS(E_F): 0.93 states/eV per atom
* DFT formation energy: -0.4008 eV/atom
* V: 14.6 A^3/atom

Cell: 4.002 4.509 8.278 Å, 79.39 90.01 63.69°
Fractional coordinates of all 9 atoms:
Ti 0.661 0.678 0.888
Ti 0.020 0.959 0.333
Ti 0.980 0.041 0.667
Ti 0.339 0.322 0.112
Cu 0.340 0.320 0.453
Cu 0.000 0.000 0.000
Cu 0.660 0.680 0.547
Ir 0.319 0.362 0.786
Ir 0.681 0.638 0.214